Record 1
# Ba3SrTa2O9 meta-GGA SCAN PBEsol geometry
data_Ba3SrTa2O9
_chemical_formula_sum 'Ba6 Sr2 Ta4 O18'
_cell_length_a 5.9970
_cell_length_b 5.9970
_cell_length_c 15.8790
_cell_angle_alpha 90.00
_cell_angle_beta 90.00
_cell_angle_gamma 120.00
_space_group_name_H-M_alt 'P 63/m m c'
_space_group_IT_number 194
_space_group_name_Hall '-P 6c 2c'
loop_
_atom_site_label
_atom_site_type_symbol
_atom_site_fract_x
_atom_site_fract_y
_atom_site_fract_z
Ba1 Ba 0.0000 0.0000 0.2500
Ba2 Ba 0.3333 0.6667 0.1245
Sr1 Sr 0.0000 0.0000 0.0000
Ta1 Ta 0.3333 0.6667 0.6568
O1 O 0.0342 0.5171 0.7500
O2 O 0.1718 0.3436 0.6025
# Relative energy among the computed polymorphs = 0.16 eV per formula unit
# N(E_F) = 0.00 states/eV/atom
# Total magnetization = 0.00 μB/f.u.
# Calculated volume = 494.6 Å³/cell


Record 2
# Ba3SrTa2O9 meta-GGA SCAN PBEsol geometry
data_Ba3SrTa2O9
_chemical_formula_sum 'Ba3 Sr1 Ta2 O9'
_cell_length_a 5.9422
_cell_length_b 5.9422
_cell_length_c 7.5706
_cell_angle_alpha 90.00
_cell_angle_beta 90.00
_cell_angle_gamma 120.00
_space_group_name_H-M_alt 'P -3 m 1'
_space_group_IT_number 164
_space_group_name_Hall '-P 3 2"'
loop_
_atom_site_label
_atom_site_type_symbol
_atom_site_fract_x
_atom_site_fract_y
_atom_site_fract_z
Ba1 Ba 0.0000 0.0000 0.0000
Ba2 Ba 0.3333 0.6667 0.6907
Sr1 Sr 0.0000 0.0000 0.5000
Ta1 Ta 0.3333 0.6667 0.1640
O1 O 0.0000 0.5000 0.0000
O2 O 0.1771 0.3543 0.2997
# Relative energy among the computed polymorphs = 0.00 eV per formula unit
# N(E_F) = 0.00 states/eV/atom
# Total magnetization = 0.00 μB/f.u.
# Calculated volume = 231.5 Å³/cell


Record 3
# Ba3Sr5Ti8O24 meta-GGA SCAN PBEsol geometry
data_Ba3Sr5Ti8O24
_chemical_formula_sum 'Ba3 Sr5 Ti8 O24'
_cell_length_a 7.8634
_cell_length_b 7.8634
_cell_length_c 7.8613
_cell_angle_alpha 90.00
_cell_angle_beta 90.00
_cell_angle_gamma 90.00
_space_group_name_H-M_alt 'P 4/m m m'
_space_group_IT_number 123
_space_group_name_Hall '-P 4 2'
loop_
_atom_site_label
_atom_site_type_symbol
_atom_site_fract_x
_atom_site_fract_y
_atom_site_fract_z
Ba1 Ba 0.0000 0.0000 0.0000
Ba2 Ba 0.0000 0.5000 0.0000
Sr1 Sr 0.0000 0.0000 0.5000
Sr2 Sr 0.0000 0.5000 0.5000
Sr3 Sr 0.5000 0.5000 0.0000
Sr4 Sr 0.5000 0.5000 0.5000
Ti1 Ti 0.2513 0.2513 0.2537
O1 O 0.0000 0.2510 0.2575
O2 O 0.2514 0.2514 0.5000
O3 O 0.2528 0.5000 0.2555
O4 O 0.2535 0.2535 0.0000
# DFT total energy = -645.10 eV per cell
# N(E_F) = 0.00 states/eV/atom
# Total magnetization = 0.00 μB/f.u.
# Calculated volume = 486.1 Å³/cell


Record 4
# Ba2SrTi3O9 meta-GGA SCAN PBEsol geometry
data_Ba2SrTi3O9
_chemical_formula_sum 'Ba4 Sr2 Ti6 O18'
_cell_length_a 5.5845
_cell_length_b 16.7301
_cell_length_c 4.0100
_cell_angle_alpha 90.00
_cell_angle_beta 90.00
_cell_angle_gamma 90.00
_space_group_name_H-M_alt 'C m m 2'
_space_group_IT_number 35
_space_group_name_Hall 'C 2 -2'
loop_
_atom_site_label
_atom_site_type_symbol
_atom_site_fract_x
_atom_site_fract_y
_atom_site_fract_z
Ba1 Ba 0.0000 0.1669 0.0000
Sr1 Sr 0.0000 0.5000 0.9878
Ti1 Ti 0.0000 0.0000 0.4850
Ti2 Ti 0.0000 0.3352 0.4859
O1 O 0.0000 0.0000 0.0227
O2 O 0.0000 0.3370 0.0222
O3 O 0.2467 0.4184 0.5183
O4 O 0.2500 0.2500 0.5135
# DFT total energy = -513.37 eV per cell
# N(E_F) = 0.00 states/eV/atom
# Total magnetization = 0.00 μB/f.u.
# Calculated volume = 374.7 Å³/cell


Record 5
# BaSrTi2O6 meta-GGA SCAN PBEsol geometry
data_BaSrTi2O6
_chemical_formula_sum 'Ba1 Sr1 Ti2 O6'
_cell_length_a 3.9426
_cell_length_b 3.9426
_cell_length_c 7.8802
_cell_angle_alpha 90.00
_cell_angle_beta 90.00
_cell_angle_gamma 90.00
_space_group_name_H-M_alt 'P 4/m m m'
_space_group_IT_number 123
_space_group_name_Hall '-P 4 2'
loop_
_atom_site_label
_atom_site_type_symbol
_atom_site_fract_x
_atom_site_fract_y
_atom_site_fract_z
Ba1 Ba 0.0000 0.0000 0.0000
Sr1 Sr 0.0000 0.0000 0.5000
Ti1 Ti 0.5000 0.5000 0.2549
O1 O 0.0000 0.5000 0.2584
O2 O 0.5000 0.5000 0.0000
O3 O 0.5000 0.5000 0.5000
# DFT total energy = -165.49 eV per cell
# N(E_F) = 0.00 states/eV/atom
# Total magnetization = 0.00 μB/f.u.
# Calculated volume = 122.5 Å³/cell


Record 6
# Ba3SrZn2W2O12 meta-GGA SCAN PBEsol geometry
data_Ba3SrZn2W2O12
_chemical_formula_sum 'Ba9 Sr3 Zn6 W6 O36'
_cell_length_a 5.7059
_cell_length_b 5.7059
_cell_length_c 27.9329
_cell_angle_alpha 90.00
_cell_angle_beta 90.00
_cell_angle_gamma 120.00
_space_group_name_H-M_alt 'R 3 m'
_space_group_IT_number 160
_space_group_name_Hall 'R 3 -2"'
loop_
_atom_site_label
_atom_site_type_symbol
_atom_site_fract_x
_atom_site_fract_y
_atom_site_fract_z
Ba1 Ba 0.0000 0.0000 0.0000
Ba2 Ba 0.0000 0.0000 0.2498
Ba3 Ba 0.0000 0.0000 0.4996
Sr1 Sr 0.0000 0.0000 0.7497
Zn1 Zn 0.0000 0.0000 0.1245
Zn2 Zn 0.0000 0.0000 0.6251
W1 W 0.0000 0.0000 0.3756
W2 W 0.0000 0.0000 0.8739
O1 O 0.0122 0.5061 0.0027
O2 O 0.0168 0.5084 0.5004
O3 O 0.1738 0.3476 0.0817
O4 O 0.1741 0.3482 0.5808
# DFT total energy = -1305.56 eV per cell
# N(E_F) = 0.00 states/eV/atom
# Total magnetization = 0.00 μB/f.u.
# Calculated volume = 787.6 Å³/cell


Record 7
# Ba8Ta7O24 meta-GGA SCAN PBEsol geometry
data_Ba8Ta7O24
_chemical_formula_sum 'Ba8 Ta7 O24'
_cell_length_a 5.8316
_cell_length_b 5.8316
_cell_length_c 18.9725
_cell_angle_alpha 90.00
_cell_angle_beta 90.00
_cell_angle_gamma 120.00
_space_group_name_H-M_alt 'P 3 m 1'
_space_group_IT_number 156
_space_group_name_Hall 'P 3 -2"'
loop_
_atom_site_label
_atom_site_type_symbol
_atom_site_fract_x
_atom_site_fract_y
_atom_site_fract_z
Ba1 Ba 0.0000 0.0000 0.0000
Ba2 Ba 0.0000 0.0000 0.2202
Ba3 Ba 0.0000 0.0000 0.6008
Ba4 Ba 0.3333 0.6667 0.3492
Ba5 Ba 0.3333 0.6667 0.8653
Ba6 Ba 0.6667 0.3333 0.0948
Ba7 Ba 0.6667 0.3333 0.4856
Ba8 Ba 0.6667 0.3333 0.7175
Ta1 Ta 0.0000 0.0000 0.4128
Ta2 Ta 0.0000 0.0000 0.7900
Ta3 Ta 0.3333 0.6667 0.1582
Ta4 Ta 0.3333 0.6667 0.5315
Ta5 Ta 0.3333 0.6667 0.6675
Ta6 Ta 0.6667 0.3333 0.2901
Ta7 Ta 0.6667 0.3333 0.9155
O1 O 0.0113 0.5056 0.6001
O2 O 0.1631 0.3261 0.7231
O3 O 0.1645 0.3290 0.4735
O4 O 0.1696 0.3392 0.1126
O5 O 0.3317 0.1659 0.8414
O6 O 0.3363 0.1682 0.3537
O7 O 0.5018 0.0035 0.2334
O8 O 0.5094 0.0188 0.9666
# DFT total energy = -1055.97 eV per cell
# N(E_F) = 0.10 states/eV/atom
# Total magnetization = 0.00 μB/f.u.
# Calculated volume = 558.8 Å³/cell


Record 8
# BaTa6O16 meta-GGA SCAN PBEsol geometry
data_BaTa6O16
_chemical_formula_sum 'Ba2 Ta12 O32'
_cell_length_a 3.8866
_cell_length_b 10.2926
_cell_length_c 15.0933
_cell_angle_alpha 90.00
_cell_angle_beta 90.00
_cell_angle_gamma 90.00
_space_group_name_H-M_alt 'A m m 2'
_space_group_IT_number 38
_space_group_name_Hall 'A 2 -2'
loop_
_atom_site_label
_atom_site_type_symbol
_atom_site_fract_x
_atom_site_fract_y
_atom_site_fract_z
Ba1 Ba 0.0000 0.0000 0.0000
Ta1 Ta 0.5000 0.0000 0.5935
Ta2 Ta 0.5000 0.0000 0.8064
Ta3 Ta 0.5000 0.1849 0.4153
Ta4 Ta 0.5000 0.1860 0.1656
O1 O 0.0000 0.0000 0.5979
O2 O 0.0000 0.0000 0.8152
O3 O 0.0000 0.1760 0.1473
O4 O 0.0000 0.1906 0.4193
O5 O 0.5000 0.0000 0.1225
O6 O 0.5000 0.0000 0.4578
O7 O 0.5000 0.1230 0.7063
O8 O 0.5000 0.1269 0.9060
O9 O 0.5000 0.1512 0.2888
O10 O 0.5000 0.1975 0.5533
# DFT total energy = -1220.46 eV per cell
# N(E_F) = 0.00 states/eV/atom
# Total magnetization = 0.00 μB/f.u.
# Calculated volume = 603.8 Å³/cell


Record 9
# Ba4Ta2O9 meta-GGA SCAN PBEsol geometry
data_Ba4Ta2O9
_chemical_formula_sum 'Ba8 Ta4 O18'
_cell_length_a 6.0775
_cell_length_b 6.0775
_cell_length_c 16.5459
_cell_angle_alpha 90.00
_cell_angle_beta 90.00
_cell_angle_gamma 120.00
_space_group_name_H-M_alt 'P 63/m'
_space_group_IT_number 176
_space_group_name_Hall '-P 6c'
loop_
_atom_site_label
_atom_site_type_symbol
_atom_site_fract_x
_atom_site_fract_y
_atom_site_fract_z
Ba1 Ba 0.0000 0.0000 0.0000
Ba2 Ba 0.0000 0.0000 0.2500
Ba3 Ba 0.3333 0.6667 0.1346
Ta1 Ta 0.3333 0.6667 0.6598
O1 O 0.0451 0.4733 0.7500
O2 O 0.1072 0.7529 0.6087
# Relative energy among the computed polymorphs = 0.00 eV per formula unit
# N(E_F) = 0.00 states/eV/atom
# Total magnetization = 0.00 μB/f.u.
# Calculated volume = 529.3 Å³/cell


Record 10
# Ba4Ta2O9 meta-GGA SCAN PBEsol geometry
data_Ba4Ta2O9
_chemical_formula_sum 'Ba16 Ta8 O36'
_cell_length_a 10.1993
_cell_length_b 6.0162
_cell_length_c 16.2180
_cell_angle_alpha 90.00
_cell_angle_beta 90.49
_cell_angle_gamma 90.00
_space_group_name_H-M_alt 'C 1 2/c 1'
_space_group_IT_number 15
_space_group_name_Hall '-C 2yc'
loop_
_atom_site_label
_atom_site_type_symbol
_atom_site_fract_x
_atom_site_fract_y
_atom_site_fract_z
Ba1 Ba 0.0000 0.0000 0.0000
Ba2 Ba 0.0000 0.0133 0.2500
Ba3 Ba 0.1652 0.4856 0.6154
Ta1 Ta 0.1684 0.4873 0.8307
O1 O 0.0000 0.4752 0.2500
O2 O 0.0674 0.2556 0.8804
O3 O 0.1156 0.2854 0.4038
O4 O 0.1719 0.0796 0.1136
O5 O 0.2402 0.2208 0.7442
# Relative energy among the computed polymorphs = 0.35 eV per formula unit
# N(E_F) = 0.00 states/eV/atom
# Total magnetization = 0.00 μB/f.u.
# Calculated volume = 995.1 Å³/cell


Record 11
# Ba3Ta5O15 meta-GGA SCAN PBEsol geometry
data_Ba3Ta5O15
_chemical_formula_sum 'Ba6 Ta10 O30'
_cell_length_a 12.6233
_cell_length_b 12.6233
_cell_length_c 3.9809
_cell_angle_alpha 90.00
_cell_angle_beta 90.00
_cell_angle_gamma 90.00
_space_group_name_H-M_alt 'P 4/m b m'
_space_group_IT_number 127
_space_group_name_Hall '-P 4 2ab'
loop_
_atom_site_label
_atom_site_type_symbol
_atom_site_fract_x
_atom_site_fract_y
_atom_site_fract_z
Ba1 Ba 0.0000 0.0000 0.0000
Ba2 Ba 0.1684 0.3316 0.0000
Ta1 Ta 0.0000 0.5000 0.5000
Ta2 Ta 0.0771 0.7874 0.5000
O1 O 0.0000 0.5000 0.0000
O2 O 0.0067 0.3433 0.5000
O3 O 0.0675 0.1404 0.5000
O4 O 0.0786 0.7919 0.0000
O5 O 0.2197 0.7197 0.5000
# DFT total energy = -1238.21 eV per cell
# N(E_F) = 0.10 states/eV/atom
# Total magnetization = 0.00 μB/f.u.
# Calculated volume = 634.4 Å³/cell


Calculated mass density in order - 6.75; 7.21; 5.52; 5.76; 5.65; 7.53; 8.17; 8.14; 6.62; 7.04; 8.15 g/cm³